[1]
CsBeVO4 | Alexandria via LeMat-Bulk | PBE+U | relaxed; total DFT energy (no corrections) = -6.52 eV per atom; spin magnetization = 0.0 Bohr magnetons per cell; Fermi-level density of states = 0.000 states/eV/atom; mass density = 4.3 g/cm3
1.0
-2.248 1.919 3.945
0.144 -4.855 2.444
8.751 -0.193 -0.900
Cs O Be V
2 8 2 2
Direct
0.654 0.750 0.915
0.346 0.250 0.085
0.441 0.250 0.427
0.403 0.750 0.262
0.559 0.750 0.573
0.982 0.973 0.361
0.982 0.527 0.361
0.597 0.250 0.738
0.018 0.027 0.639
0.018 0.473 0.639
0.224 0.750 0.376
0.776 0.250 0.624
0.204 0.250 0.523
0.796 0.750 0.477


[2]
Cs2BeVO4 | Alexandria via LeMat-Bulk | PBE+U | relaxed; total DFT energy (no corrections) = -6.08 eV per atom; spin magnetization = 2.0 Bohr magnetons per cell; mass density = 4.0 g/cm3
1.0
4.769 0.000 0.000
2.384 6.330 0.000
2.384 0.000 10.722
O Be Cs V
8 2 4 2
Direct
0.888 0.848 0.920
0.559 0.348 0.580
0.264 0.848 0.080
0.862 0.652 0.580
0.486 0.652 0.420
0.657 0.152 0.080
0.191 0.152 0.920
0.093 0.348 0.420
0.000 0.000 0.000
0.750 0.500 0.500
0.172 0.000 0.657
0.828 0.000 0.343
0.922 0.500 0.157
0.578 0.500 0.843
0.250 0.500 0.500
0.500 0.000 0.000